Entry 1:
Here is SrNiAgS3 after structural relaxation from OQMD. Energies are from PBE.

Output
As for the space group: P2_1/m (11). The value obtained for the total energy is -53.134 eV per cell.

The structure in extended XYZ format:
```
12
Lattice="6.929 0.000 0.000 0.000 3.620 0.000 -2.957 0.000 9.185" Properties=species:S:1:pos:R:3 pbc="T T T"
Sr -0.631 0.905 2.120
Sr 4.603 2.715 7.065
Ni 0.992 2.715 5.557
Ni 2.980 0.905 3.628
Ag 0.884 0.905 8.018
Ag 3.087 2.715 1.167
S -0.455 0.905 5.356
S -1.403 0.905 9.150
S 1.620 2.715 3.264
S 2.352 0.905 5.921
S 5.375 2.715 0.035
S 4.427 2.715 3.829
```

---

Entry 2:
Here is NiAg2Sb after structural relaxation from OQMD. Energies are from PBE.

Output
As for the space group: F-43m (216). The value obtained for the total energy is -14.900 eV per cell.

The structure in extended XYZ format:
```
4
Lattice="0.000 3.272 3.272 3.272 0.000 3.272 3.272 3.272 0.000" Properties=species:S:1:pos:R:3 pbc="T T T"
Ni 0.000 0.000 0.000
Ag 1.636 1.636 1.636
Ag 3.272 3.272 3.272
Sb 4.908 4.908 4.908
```

---

Entry 3:
Here is Sc2Ni2Ag after structural relaxation from OQMD. Energies are from PBE.

Output
Its formation enthalpy at 0 K is -193 meV per atom. As for the space group: I4/mmm (139).

The structure in extended XYZ format:
```
5
Lattice="-1.785 1.785 6.663 1.785 -1.785 6.663 1.785 1.785 -6.663" Properties=species:S:1:pos:R:3 pbc="T T T"
Sc 0.000 0.000 1.546
Sc 0.000 0.000 11.781
Ni 1.785 0.000 3.332
Ni 0.000 1.785 3.332
Ag 0.000 0.000 6.663
```

---

Entry 4:
Here is ScSiNiAg after structural relaxation from OQMD. Energies are from PBE.

Output
As for the space group: F-43m (216). The value obtained for the total energy is -21.199 eV per cell.

The structure in extended XYZ format:
```
4
Lattice="0.000 3.142 3.142 3.142 0.000 3.142 3.142 3.142 0.000" Properties=species:S:1:pos:R:3 pbc="T T T"
Sc 0.000 0.000 0.000
Si 1.571 1.571 1.571
Ni 3.142 3.142 3.142
Ag 4.713 4.713 4.713
```

---

Entry 5:
Here is ScNiAgSn after structural relaxation from OQMD. Energies are from PBE.

Output
As for the space group: F-43m (216). The value obtained for the total energy is -19.783 eV per cell.

The structure in extended XYZ format:
```
4
Lattice="0.000 3.289 3.289 3.289 0.000 3.289 3.289 3.289 0.000" Properties=species:S:1:pos:R:3 pbc="T T T"
Sc 0.000 0.000 0.000
Ni 3.289 3.289 3.289
Ag 4.933 4.933 4.933
Sn 1.644 1.644 1.644
```

---

Entry 6:
Here is ScTlNiAg after structural relaxation from OQMD. Energies are from PBE.

Output
As for the space group: F-43m (216). The value obtained for the total energy is -17.381 eV per cell.

The structure in extended XYZ format:
```
4
Lattice="0.000 3.309 3.309 3.309 0.000 3.309 3.309 3.309 0.000" Properties=species:S:1:pos:R:3 pbc="T T T"
Sc 0.000 0.000 0.000
Tl 1.654 1.654 1.654
Ni 3.309 3.309 3.309
Ag 4.963 4.963 4.963
```

---

Entry 7:
Here is Ni3AgSe5 after structural relaxation from OQMD. Energies are from PBE.

Output
As for the space group: P6/mmm (191). The value obtained for the total energy is -36.923 eV per cell.

The structure in extended XYZ format:
```
9
Lattice="5.357 0.000 0.000 -2.679 4.640 0.000 0.000 0.000 6.814" Properties=species:S:1:pos:R:3 pbc="T T T"
Ni -1.339 2.320 0.000
Ni 2.679 0.000 0.000
Ni 1.339 2.320 0.000
Ag 0.000 0.000 3.407
Se 0.000 0.000 0.000
Se 0.000 3.093 1.819
Se 0.000 3.093 4.996
Se 2.679 1.547 1.819
Se 2.679 1.547 4.996
```

---

Entry 8:
Here is Si5Ni3Ag after structural relaxation from OQMD. Energies are from PBE.

Output
As for the space group: P6/mmm (191). The value obtained for the total energy is -47.101 eV per cell.

The structure in extended XYZ format:
```
9
Lattice="4.820 0.000 0.000 -2.410 4.174 0.000 0.000 0.000 6.216" Properties=species:S:1:pos:R:3 pbc="T T T"
Si 0.000 0.000 0.000
Si 0.000 2.783 1.917
Si 0.000 2.783 4.299
Si 2.410 1.391 1.917
Si 2.410 1.391 4.299
Ni -1.205 2.087 0.000
Ni 2.410 0.000 0.000
Ni 1.205 2.087 0.000
Ag 0.000 0.000 3.108
```

---

Entry 9:
Here is SiNi2Ag after structural relaxation from OQMD. Energies are from PBE.

Output
As for the space group: F-43m (216). The value obtained for the total energy is -19.204 eV per cell.

The structure in extended XYZ format:
```
4
Lattice="0.000 2.942 2.942 2.942 0.000 2.942 2.942 2.942 0.000" Properties=species:S:1:pos:R:3 pbc="T T T"
Si 0.000 0.000 0.000
Ni 2.942 2.942 2.942
Ni 4.414 4.414 4.414
Ag 1.471 1.471 1.471
```

---

Entry 10:
Here is TaSiNiAg after structural relaxation from OQMD. Energies are from PBE.

Output
As for the space group: F-43m (216). The value obtained for the total energy is -25.057 eV per cell.

The structure in extended XYZ format:
```
4
Lattice="0.000 3.096 3.096 3.096 0.000 3.096 3.096 3.096 0.000" Properties=species:S:1:pos:R:3 pbc="T T T"
Ta 0.000 0.000 0.000
Si 1.548 1.548 1.548
Ni 3.096 3.096 3.096
Ag 4.644 4.644 4.644
```

---

Entry 11:
Here is SiTcNiAg after structural relaxation from OQMD. Energies are from PBE.

Output
As for the space group: F-43m (216). The value obtained for the total energy is -23.620 eV per cell.

The structure in extended XYZ format:
```
4
Lattice="0.000 3.017 3.017 3.017 0.000 3.017 3.017 3.017 0.000" Properties=species:S:1:pos:R:3 pbc="T T T"
Si 0.000 0.000 0.000
Tc 4.525 4.525 4.525
Ni 1.508 1.508 1.508
Ag 3.017 3.017 3.017
```

---

Entry 12:
Here is Sm2TlNiAg after structural relaxation from OQMD. Energies are from PBE.

Output
As for the space group: Amm2 (38). The value obtained for the total energy is -21.850 eV per cell.

The structure in extended XYZ format:
```
5
Lattice="3.743 0.000 0.000 0.000 2.149 7.410 0.000 -2.149 7.410" Properties=species:S:1:pos:R:3 pbc="T T T"
Sm 0.000 0.000 0.000
Sm 0.000 0.000 3.922
Tl 1.871 0.000 9.469
Ni 1.871 0.000 12.289
Ag 1.871 0.000 6.420
```